(1)
The following is a PBE calculation of crystalline Dy3Y6ZrSc2 at its relaxed geometry, from the Alexandria database.

Cell and atoms, written as CIF:
```
data_Dy3Y6ZrSc2
_cell_length_a 6.0320
_cell_length_b 10.4336
_cell_length_c 11.5041
_cell_angle_alpha 90.00
_cell_angle_beta 100.02
_cell_angle_gamma 90.00
_space_group_name_H-M_alt 'C 1 2/m 1'
_space_group_IT_number 12
loop_
_space_group_symop_operation_xyz
'x,y,z'
'-x,-y,-z'
'-x,y,-z'
'x,-y,z'
'x+1/2,y+1/2,z'
'-x+1/2,-y+1/2,-z'
'-x+1/2,y+1/2,-z'
'x+1/2,-y+1/2,z'
loop_
_atom_site_label
_atom_site_type_symbol
_atom_site_fract_x
_atom_site_fract_y
_atom_site_fract_z
Dy1 Dy 0.0000 0.0000 0.0000
Dy2 Dy 0.0000 0.3332 0.0000
Y1 Y 0.2449 0.3351 0.7391
Y2 Y 0.2503 0.0000 0.7387
Zr1 Zr 0.0000 0.5000 0.5000
Sc1 Sc 0.0000 0.1668 0.5000
```

Computed properties:
E_form	0.064	eV/atom

=====

(2)
The following is a PBE calculation of crystalline Hf2ScAl at its relaxed geometry, from the Alexandria database.

Cell and atoms, written as CIF:
```
data_Hf2ScAl
_cell_length_a 4.3417
_cell_length_b 4.3417
_cell_length_c 4.3493
_cell_angle_alpha 90.00
_cell_angle_beta 90.00
_cell_angle_gamma 90.00
_space_group_name_H-M_alt 'P 4/m m m'
_space_group_IT_number 123
_space_group_name_Hall '-P 4 2'
loop_
_atom_site_label
_atom_site_type_symbol
_atom_site_fract_x
_atom_site_fract_y
_atom_site_fract_z
Hf1 Hf 0.0000 0.5000 0.0000
Sc1 Sc 0.0000 0.0000 0.5000
Al1 Al 0.5000 0.5000 0.5000
```

Computed properties:
E_form	-0.208	eV/atom

=====

(3)
The following is a PBE calculation of crystalline Tb7Nd2In2 at its relaxed geometry, from the Alexandria database.

Cell and atoms, written as CIF:
```
data_Tb7Nd2In2
_cell_length_a 3.6538
_cell_length_b 19.9293
_cell_length_c 9.7587
_cell_angle_alpha 90.00
_cell_angle_beta 90.00
_cell_angle_gamma 90.00
_space_group_name_H-M_alt 'I m m 2'
_space_group_IT_number 44
loop_
_space_group_symop_operation_xyz
'x,y,z'
'-x,-y,z'
'-x,y,z'
'x,-y,z'
'x+1/2,y+1/2,z+1/2'
'-x+1/2,-y+1/2,z+1/2'
'-x+1/2,y+1/2,z+1/2'
'x+1/2,-y+1/2,z+1/2'
loop_
_atom_site_label
_atom_site_type_symbol
_atom_site_fract_x
_atom_site_fract_y
_atom_site_fract_z
Tb1 Tb 0.0000 0.0000 0.0000
Tb2 Tb 0.0000 0.1304 0.5250
Tb3 Tb 0.0000 0.3373 0.3315
Tb4 Tb 0.0000 0.3616 0.7017
Nd1 Nd 0.0000 0.0000 0.3367
Nd2 Nd 0.0000 0.5000 0.1864
In1 In 0.0000 0.2457 0.0411
```

Computed properties:
E_form	-0.045	eV/atom

=====

(4)
The following is a PBE calculation of crystalline Nd6Os2RhBr3 at its relaxed geometry, from the Alexandria database.

Cell and atoms, written as CIF:
```
data_Nd6Os2RhBr3
_cell_length_a 7.1477
_cell_length_b 12.3814
_cell_length_c 8.1964
_cell_angle_alpha 90.00
_cell_angle_beta 106.94
_cell_angle_gamma 90.00
_space_group_name_H-M_alt 'C 1 2/m 1'
_space_group_IT_number 12
loop_
_space_group_symop_operation_xyz
'x,y,z'
'-x,-y,-z'
'-x,y,-z'
'x,-y,z'
'x+1/2,y+1/2,z'
'-x+1/2,-y+1/2,-z'
'-x+1/2,y+1/2,-z'
'x+1/2,-y+1/2,z'
loop_
_atom_site_label
_atom_site_type_symbol
_atom_site_fract_x
_atom_site_fract_y
_atom_site_fract_z
Nd1 Nd 0.2270 0.0000 0.1973
Nd2 Nd 0.2351 0.3305 0.1970
Os1 Os 0.0000 0.1664 0.0000
Rh1 Rh 0.0000 0.5000 0.0000
Br1 Br 0.0000 0.0000 0.5000
Br2 Br 0.0000 0.3320 0.5000
```

=====

(5)
The following is a PBE calculation of crystalline TcNi2Te at its relaxed geometry, from the Alexandria database.

Cell and atoms, written as CIF:
```
data_TcNi2Te
_cell_length_a 3.8574
_cell_length_b 3.8574
_cell_length_c 3.8235
_cell_angle_alpha 90.00
_cell_angle_beta 90.00
_cell_angle_gamma 90.00
_space_group_name_H-M_alt 'P 4/m m m'
_space_group_IT_number 123
_space_group_name_Hall '-P 4 2'
loop_
_atom_site_label
_atom_site_type_symbol
_atom_site_fract_x
_atom_site_fract_y
_atom_site_fract_z
Tc1 Tc 0.0000 0.0000 0.0000
Ni1 Ni 0.0000 0.5000 0.5000
Te1 Te 0.5000 0.5000 0.0000
```

=====

(6)
The following is a PBE calculation of crystalline YTeP2 at its relaxed geometry, from the Alexandria database.

Cell and atoms, written as CIF:
```
data_YTeP2
_cell_length_a 4.2338
_cell_length_b 4.0962
_cell_length_c 5.6957
_cell_angle_alpha 90.00
_cell_angle_beta 111.70
_cell_angle_gamma 90.00
_space_group_name_H-M_alt 'P 1 m 1'
_space_group_IT_number 6
loop_
_space_group_symop_operation_xyz
'x,y,z'
'x,-y,z'
loop_
_atom_site_label
_atom_site_type_symbol
_atom_site_fract_x
_atom_site_fract_y
_atom_site_fract_z
Y1 Y 0.0000 0.0000 0.0000
Te1 Te 0.6046 0.5000 0.1982
P1 P 0.0667 0.5000 0.6458
P2 P 0.3016 0.0000 0.6078
```

=====

(7)
The following is a PBE calculation of crystalline Be2ZnHgO at its relaxed geometry, from the Alexandria database.

Cell and atoms, written as CIF:
```
data_Be2ZnHgO
_cell_length_a 4.5487
_cell_length_b 4.5487
_cell_length_c 4.4192
_cell_angle_alpha 90.00
_cell_angle_beta 90.00
_cell_angle_gamma 90.00
_space_group_name_H-M_alt 'P 4/m m m'
_space_group_IT_number 123
_space_group_name_Hall '-P 4 2'
loop_
_atom_site_label
_atom_site_type_symbol
_atom_site_fract_x
_atom_site_fract_y
_atom_site_fract_z
Be1 Be 0.0000 0.5000 0.0000
Zn1 Zn 0.0000 0.0000 0.5000
Hg1 Hg 0.5000 0.5000 0.0000
O1 O 0.5000 0.5000 0.5000
```

=====

(8)
The following is a PBE calculation of crystalline TlHg2Au3 at its relaxed geometry, from the Alexandria database.

Cell and atoms, written as CIF:
```
data_TlHg2Au3
_cell_length_a 10.1520
_cell_length_b 5.8651
_cell_length_c 9.8440
_cell_angle_alpha 90.00
_cell_angle_beta 90.00
_cell_angle_gamma 90.00
_space_group_name_H-M_alt 'C m c m'
_space_group_IT_number 63
_space_group_name_Hall '-C 2c 2'
loop_
_atom_site_label
_atom_site_type_symbol
_atom_site_fract_x
_atom_site_fract_y
_atom_site_fract_z
Tl1 Tl 0.0000 0.0012 0.2500
Hg1 Hg 0.1666 0.5000 0.0000
Au1 Au 0.0000 0.4986 0.7500
Au2 Au 0.2500 0.2491 0.7500
```

Computed properties:
E_form	0.042	eV/atom

=====

(9)
The following is a PBE calculation of crystalline LaCe2HoBi4 at its relaxed geometry, from the Alexandria database.

Cell and atoms, written as CIF:
```
data_LaCe2HoBi4
_cell_length_a 7.9579
_cell_length_b 4.5978
_cell_length_c 7.9618
_cell_angle_alpha 90.00
_cell_angle_beta 109.48
_cell_angle_gamma 90.00
_space_group_name_H-M_alt 'P 1 2/m 1'
_space_group_IT_number 10
loop_
_space_group_symop_operation_xyz
'x,y,z'
'-x,-y,-z'
'-x,y,-z'
'x,-y,z'
loop_
_atom_site_label
_atom_site_type_symbol
_atom_site_fract_x
_atom_site_fract_y
_atom_site_fract_z
La1 La 0.0000 0.0000 0.0000
Ce1 Ce 0.0000 0.5000 0.5000
Ce2 Ce 0.5000 0.0000 0.5000
Ho1 Ho 0.5000 0.5000 0.0000
Bi1 Bi 0.2573 0.5000 0.2518
Bi2 Bi 0.2577 0.0000 0.7532
```

Computed properties:
E_form	-0.862	eV/atom

=====

(10)
The following is a PBE calculation of crystalline LaTmSiAu at its relaxed geometry, from the Alexandria database.

Cell and atoms, written as CIF:
```
data_LaTmSiAu
_cell_length_a 7.2933
_cell_length_b 7.2933
_cell_length_c 7.2933
_cell_angle_alpha 90.00
_cell_angle_beta 90.00
_cell_angle_gamma 90.00
_space_group_name_H-M_alt 'F -4 3 m'
_space_group_IT_number 216
_space_group_name_Hall 'F -4 2 3'
loop_
_atom_site_label
_atom_site_type_symbol
_atom_site_fract_x
_atom_site_fract_y
_atom_site_fract_z
La1 La 0.0000 0.0000 0.0000
Tm1 Tm 0.0000 0.0000 0.5000
Si1 Si 0.2500 0.2500 0.7500
Au1 Au 0.2500 0.2500 0.2500
```

=====

(11)
The following is a PBE calculation of crystalline LiBe2Pt at its relaxed geometry, from the Alexandria database.

Cell and atoms, written as CIF:
```
data_LiBe2Pt
_cell_length_a 3.5666
_cell_length_b 3.5666
_cell_length_c 15.9833
_cell_angle_alpha 90.00
_cell_angle_beta 90.00
_cell_angle_gamma 90.00
_space_group_name_H-M_alt 'I -4 2 d'
_space_group_IT_number 122
_space_group_name_Hall 'I -4 2bw'
loop_
_atom_site_label
_atom_site_type_symbol
_atom_site_fract_x
_atom_site_fract_y
_atom_site_fract_z
Li1 Li 0.0000 0.0000 0.0000
Be1 Be 0.1865 0.7500 0.6250
Pt1 Pt 0.0000 0.0000 0.5000
```

Computed properties:
E_form	0.001	eV/atom

=====

(12)
The following is a PBE calculation of crystalline Sn6SbPt at its relaxed geometry, from the Alexandria database.

Cell and atoms, written as CIF:
```
data_Sn6SbPt
_cell_length_a 14.1085
_cell_length_b 9.7260
_cell_length_c 9.9120
_cell_angle_alpha 90.00
_cell_angle_beta 134.26
_cell_angle_gamma 90.00
_space_group_name_H-M_alt 'C 1 2/m 1'
_space_group_IT_number 12
loop_
_space_group_symop_operation_xyz
'x,y,z'
'-x,-y,-z'
'-x,y,-z'
'x,-y,z'
'x+1/2,y+1/2,z'
'-x+1/2,-y+1/2,-z'
'-x+1/2,y+1/2,-z'
'x+1/2,-y+1/2,z'
loop_
_atom_site_label
_atom_site_type_symbol
_atom_site_fract_x
_atom_site_fract_y
_atom_site_fract_z
Sn1 Sn 0.0229 0.1529 0.1713
Sn2 Sn 0.1113 0.5000 0.9756
Sn3 Sn 0.1444 0.3478 0.6241
Sn4 Sn 0.1877 0.5000 0.3396
Sb1 Sb 0.2500 0.2500 0.0000
Pt1 Pt 0.2500 0.2500 0.5000
```

=====

(13)
The following is a PBE calculation of crystalline Co2TcSn8 at its relaxed geometry, from the Alexandria database.

Cell and atoms, written as CIF:
```
data_Co2TcSn8
_cell_length_a 12.3206
_cell_length_b 8.3540
_cell_length_c 4.9755
_cell_angle_alpha 90.00
_cell_angle_beta 94.10
_cell_angle_gamma 90.00
_space_group_name_H-M_alt 'C 1 2/m 1'
_space_group_IT_number 12
loop_
_space_group_symop_operation_xyz
'x,y,z'
'-x,-y,-z'
'-x,y,-z'
'x,-y,z'
'x+1/2,y+1/2,z'
'-x+1/2,-y+1/2,-z'
'-x+1/2,y+1/2,-z'
'x+1/2,-y+1/2,z'
loop_
_atom_site_label
_atom_site_type_symbol
_atom_site_fract_x
_atom_site_fract_y
_atom_site_fract_z
Co1 Co 0.2491 0.0000 0.3759
Tc1 Tc 0.0000 0.0000 0.5000
Sn1 Sn 0.1214 0.0000 0.9665
Sn2 Sn 0.1215 0.5000 0.9941
Sn3 Sn 0.1295 0.2615 0.4317
```

Computed properties:
E_form	0.046	eV/atom

=====

(14)
The following is a PBE calculation of crystalline VZnPt14 at its relaxed geometry, from the Alexandria database.

Cell and atoms, written as CIF:
```
data_VZnPt14
_cell_length_a 5.6006
_cell_length_b 5.6006
_cell_length_c 7.8272
_cell_angle_alpha 90.00
_cell_angle_beta 90.00
_cell_angle_gamma 90.00
_space_group_name_H-M_alt 'P 4/m m m'
_space_group_IT_number 123
_space_group_name_Hall '-P 4 2'
loop_
_atom_site_label
_atom_site_type_symbol
_atom_site_fract_x
_atom_site_fract_y
_atom_site_fract_z
V1 V 0.0000 0.0000 0.0000
Zn1 Zn 0.5000 0.5000 0.0000
Pt1 Pt 0.0000 0.0000 0.5000
Pt2 Pt 0.0000 0.5000 0.0000
Pt3 Pt 0.0000 0.5000 0.5000
Pt4 Pt 0.2476 0.2476 0.2418
Pt5 Pt 0.5000 0.5000 0.5000
```

Computed properties:
E_form	-0.230	eV/atom

=====

(15)
The following is a PBE calculation of crystalline Sm6Co2PtI3 at its relaxed geometry, from the Alexandria database.

Cell and atoms, written as CIF:
```
data_Sm6Co2PtI3
_cell_length_a 7.0966
_cell_length_b 12.2882
_cell_length_c 8.3436
_cell_angle_alpha 90.00
_cell_angle_beta 106.44
_cell_angle_gamma 90.00
_space_group_name_H-M_alt 'C 1 2/m 1'
_space_group_IT_number 12
loop_
_space_group_symop_operation_xyz
'x,y,z'
'-x,-y,-z'
'-x,y,-z'
'x,-y,z'
'x+1/2,y+1/2,z'
'-x+1/2,-y+1/2,-z'
'-x+1/2,y+1/2,-z'
'x+1/2,-y+1/2,z'
loop_
_atom_site_label
_atom_site_type_symbol
_atom_site_fract_x
_atom_site_fract_y
_atom_site_fract_z
Sm1 Sm 0.2105 0.0000 0.1815
Sm2 Sm 0.2357 0.3252 0.1823
Co1 Co 0.0000 0.1668 0.0000
Pt1 Pt 0.0000 0.5000 0.0000
I1 I 0.0000 0.0000 0.5000
I2 I 0.0000 0.3340 0.5000
```

=====

(16)
The following is a PBE calculation of crystalline TbNdZn4 at its relaxed geometry, from the Alexandria database.

Cell and atoms, written as CIF:
```
data_TbNdZn4
_cell_length_a 7.8177
_cell_length_b 7.8177
_cell_length_c 7.8177
_cell_angle_alpha 90.00
_cell_angle_beta 90.00
_cell_angle_gamma 90.00
_space_group_name_H-M_alt 'F -4 3 m'
_space_group_IT_number 216
_space_group_name_Hall 'F -4 2 3'
loop_
_atom_site_label
_atom_site_type_symbol
_atom_site_fract_x
_atom_site_fract_y
_atom_site_fract_z
Tb1 Tb 0.0000 0.0000 0.0000
Nd1 Nd 0.2500 0.2500 0.2500
Zn1 Zn 0.1252 0.1252 0.6252
```

Computed properties:
E_form	-0.329	eV/atom
energy above the most stable polymorph in this dataset	26	meV/atom

=====

(17)
The following is a PBE calculation of crystalline CeHf2Co at its relaxed geometry, from the Alexandria database.

Cell and atoms, written as CIF:
```
data_CeHf2Co
_cell_length_a 4.0861
_cell_length_b 4.0861
_cell_length_c 18.9835
_cell_angle_alpha 90.00
_cell_angle_beta 90.00
_cell_angle_gamma 120.00
_space_group_name_H-M_alt 'R 3 m'
_space_group_IT_number 160
_space_group_name_Hall 'R 3 -2"'
loop_
_atom_site_label
_atom_site_type_symbol
_atom_site_fract_x
_atom_site_fract_y
_atom_site_fract_z
Ce1 Ce 0.0000 0.0000 0.0000
Hf1 Hf 0.0000 0.0000 0.2131
Hf2 Hf 0.0000 0.0000 0.4434
Co1 Co 0.0000 0.0000 0.8211
```

Computed properties:
E_form	0.121	eV/atom
energy above the most stable polymorph in this dataset	225	meV/atom

=====

(18)
The following is a PBE calculation of crystalline Ga2TcIrPd at its relaxed geometry, from the Alexandria database.

Cell and atoms, written as CIF:
```
data_Ga2TcIrPd
_cell_length_a 4.6879
_cell_length_b 4.6879
_cell_length_c 4.8290
_cell_angle_alpha 90.00
_cell_angle_beta 90.00
_cell_angle_gamma 90.00
_space_group_name_H-M_alt 'P 4/m m m'
_space_group_IT_number 123
_space_group_name_Hall '-P 4 2'
loop_
_atom_site_label
_atom_site_type_symbol
_atom_site_fract_x
_atom_site_fract_y
_atom_site_fract_z
Ga1 Ga 0.0000 0.5000 0.0000
Tc1 Tc 0.0000 0.0000 0.5000
Ir1 Ir 0.0000 0.0000 0.0000
Pd1 Pd 0.5000 0.5000 0.5000
```

Computed properties:
E_form	0.710	eV/atom

=====

(19)
The following is a PBE calculation of crystalline GaCo2GeIr at its relaxed geometry, from the Alexandria database.

Cell and atoms, written as CIF:
```
data_GaCo2GeIr
_cell_length_a 4.3198
_cell_length_b 4.3198
_cell_length_c 4.5983
_cell_angle_alpha 90.00
_cell_angle_beta 90.00
_cell_angle_gamma 90.00
_space_group_name_H-M_alt 'P 4/m m m'
_space_group_IT_number 123
_space_group_name_Hall '-P 4 2'
loop_
_atom_site_label
_atom_site_type_symbol
_atom_site_fract_x
_atom_site_fract_y
_atom_site_fract_z
Ga1 Ga 0.0000 0.0000 0.0000
Co1 Co 0.0000 0.5000 0.0000
Ge1 Ge 0.5000 0.5000 0.5000
Ir1 Ir 0.0000 0.0000 0.5000
```

Computed properties:
E_form	1.004	eV/atom

=====

(20)
The following is a PBE calculation of crystalline BaHo2UO8 at its relaxed geometry, from the Alexandria database.

Cell and atoms, written as CIF:
```
data_BaHo2UO8
_cell_length_a 3.8917
_cell_length_b 8.1179
_cell_length_c 5.3727
_cell_angle_alpha 90.00
_cell_angle_beta 90.11
_cell_angle_gamma 90.00
_space_group_name_H-M_alt 'P 1 2/m 1'
_space_group_IT_number 10
loop_
_space_group_symop_operation_xyz
'x,y,z'
'-x,-y,-z'
'-x,y,-z'
'x,-y,z'
loop_
_atom_site_label
_atom_site_type_symbol
_atom_site_fract_x
_atom_site_fract_y
_atom_site_fract_z
Ba1 Ba 0.0000 0.0000 0.0000
Ho1 Ho 0.5000 0.2859 0.5000
U1 U 0.0000 0.5000 0.0000
O1 O 0.9999 0.2912 0.2458
O2 O 0.4961 0.0000 0.6396
O3 O 0.4998 0.5000 0.2348
```

=====

| no. | total DFT energy (no corrections) (eV/cell) |
| --- | --- |
| 1 | -146.1 |
| 2 | -30.8 |
| 3 | -95.8 |
| 4 | -145.9 |
| 5 | -24.1 |
| 6 | -23.2 |
| 7 | -9.1 |
| 8 | -50.2 |
| 9 | -43.8 |
| 10 | -82.5 |
| 11 | -61.6 |
| 12 | -140.1 |
| 13 | -112.2 |
| 14 | -98.7 |
| 15 | -124.9 |
| 16 | -65.9 |
| 17 | -97.4 |
| 18 | -26.9 |
| 19 | -25.7 |
| 20 | -98.2 |